No. 1
# KZnCo3, optimized geometry, DFT GGA-PBE
data_KZnCo3
_chemical_formula_sum 'K1 Zn1 Co3'
_cell_length_a 4.459
_cell_length_b 4.459
_cell_length_c 4.459
_cell_angle_alpha 90.00
_cell_angle_beta 90.00
_cell_angle_gamma 90.00
_space_group_name_H-M_alt 'P m -3 m'
_space_group_IT_number 221
_space_group_name_Hall '-P 4 2 3'
loop_
_atom_site_label
_atom_site_fract_x
_atom_site_fract_y
_atom_site_fract_z
K1 0.000 0.000 0.000
Zn1 0.500 0.500 0.500
Co1 0.000 0.000 0.500
# * DFT formation energy: 2356 meV per atom



No. 2
# K4ZnCo, optimized geometry, DFT GGA-PBE
data_K4ZnCo
_chemical_formula_sum 'K16 Zn4 Co4'
_cell_length_a 10.698
_cell_length_b 10.698
_cell_length_c 10.698
_cell_angle_alpha 90.00
_cell_angle_beta 90.00
_cell_angle_gamma 90.00
_space_group_name_H-M_alt 'F -4 3 m'
_space_group_IT_number 216
_space_group_name_Hall 'F -4 2 3'
loop_
_atom_site_label
_atom_site_fract_x
_atom_site_fract_y
_atom_site_fract_z
K1 0.124 0.124 0.376
Zn1 0.000 0.000 0.000
Co1 0.250 0.250 0.750
# * DFT formation energy: 870 meV per atom



No. 3
# KZr2ZnCo, optimized geometry, DFT GGA-PBE
data_KZr2ZnCo
_chemical_formula_sum 'K1 Zr2 Zn1 Co1'
_cell_length_a 4.782
_cell_length_b 4.782
_cell_length_c 6.030
_cell_angle_alpha 90.00
_cell_angle_beta 90.00
_cell_angle_gamma 90.00
_space_group_name_H-M_alt 'P 4/m m m'
_space_group_IT_number 123
_space_group_name_Hall '-P 4 2'
loop_
_atom_site_label
_atom_site_fract_x
_atom_site_fract_y
_atom_site_fract_z
K1 0.000 0.000 0.000
Zr1 0.000 0.500 0.500
Zn1 0.500 0.500 0.000
Co1 0.000 0.000 0.500
# * DFT formation energy: 716 meV per atom



No. 4
# K3ZrCo, optimized geometry, DFT GGA-PBE
data_K3ZrCo
_chemical_formula_sum 'K3 Zr1 Co1'
_cell_length_a 6.715
_cell_length_b 6.715
_cell_length_c 6.715
_cell_angle_alpha 90.00
_cell_angle_beta 90.00
_cell_angle_gamma 90.00
_space_group_name_H-M_alt 'P m -3 m'
_space_group_IT_number 221
_space_group_name_Hall '-P 4 2 3'
loop_
_atom_site_label
_atom_site_fract_x
_atom_site_fract_y
_atom_site_fract_z
K1 0.000 0.000 0.500
Zr1 0.000 0.000 0.000
Co1 0.500 0.500 0.500
# * DFT formation energy: 1730 meV per atom



No. 5
# K4ZrCo, optimized geometry, DFT GGA-PBE
data_K4ZrCo
_chemical_formula_sum 'K16 Zr4 Co4'
_cell_length_a 10.131
_cell_length_b 10.131
_cell_length_c 10.131
_cell_angle_alpha 90.00
_cell_angle_beta 90.00
_cell_angle_gamma 90.00
_space_group_name_H-M_alt 'F -4 3 m'
_space_group_IT_number 216
_space_group_name_Hall 'F -4 2 3'
loop_
_atom_site_label
_atom_site_fract_x
_atom_site_fract_y
_atom_site_fract_z
K1 0.124 0.124 0.376
Zr1 0.000 0.000 0.000
Co1 0.250 0.250 0.750
# * DFT formation energy: 1348 meV per atom



No. 6
# KZr4Co, optimized geometry, DFT GGA-PBE
data_KZr4Co
_chemical_formula_sum 'K4 Zr16 Co4'
_cell_length_a 8.387
_cell_length_b 8.387
_cell_length_c 8.387
_cell_angle_alpha 90.00
_cell_angle_beta 90.00
_cell_angle_gamma 90.00
_space_group_name_H-M_alt 'F -4 3 m'
_space_group_IT_number 216
_space_group_name_Hall 'F -4 2 3'
loop_
_atom_site_label
_atom_site_fract_x
_atom_site_fract_y
_atom_site_fract_z
K1 0.000 0.000 0.000
Zr1 0.122 0.122 0.622
Co1 0.250 0.250 0.250
# * DFT formation energy: 1021 meV per atom



> The highest DFT formation energy belongs to which entry?

KZnCo3



Copy entry 1 word for word.
# KZnCo3, optimized geometry, DFT GGA-PBE
data_KZnCo3
_chemical_formula_sum 'K1 Zn1 Co3'
_cell_length_a 4.459
_cell_length_b 4.459
_cell_length_c 4.459
_cell_angle_alpha 90.00
_cell_angle_beta 90.00
_cell_angle_gamma 90.00
_space_group_name_H-M_alt 'P m -3 m'
_space_group_IT_number 221
_space_group_name_Hall '-P 4 2 3'
loop_
_atom_site_label
_atom_site_fract_x
_atom_site_fract_y
_atom_site_fract_z
K1 0.000 0.000 0.000
Zn1 0.500 0.500 0.500
Co1 0.000 0.000 0.500
# * DFT formation energy: 2356 meV per atom



> The lowest DFT formation energy belongs to which entry?

KZr2ZnCo



> Which of these has the lowest DFT formation energy?

KZr2ZnCo